The following is a PBE calculation of an optimized crystal structure of CsKUS3, from OQMD.

Unit cell a=4.147 b=17.776 c=11.547 alpha=90.00 beta=90.00 gamma=90.00
Space group Cmcm (No. 63)
Unique sites:
Cs (0.000, 0.167, 0.250) [4 per cell]
K (0.000, 0.118, 0.750) [4 per cell]
U (0.000, 0.500, 0.000) [4 per cell]
S (0.000, 0.098, 0.503) [8 per cell]
S (0.000, 0.490, 0.750) [4 per cell]

Computed properties:
E ... -5.4666 eV per atom